# Ce3PuHg, relaxed, DFT PBE-GGA
# **Calculated total energy**: -6.559 eV/atom
# **Formation energy from the elements**: -0.072 eV per atom
data_Ce3PuHg
_chemical_formula_sum 'Ce6 Pu2 Hg2'
_cell_length_a 7.0402
_cell_length_b 7.0450
_cell_length_c 7.5287
_cell_angle_alpha 109.79
_cell_angle_beta 97.88
_cell_angle_gamma 119.41
_symmetry_space_group_name_H-M 'P 1'
_symmetry_Int_Tables_number 1
_symmetry_space_group_name_Hall 'P 1'
loop_
_atom_site_label
_atom_site_type_symbol
_atom_site_fract_x
_atom_site_fract_y
_atom_site_fract_z
_atom_site_occupancy
Ce1 Ce 0.0000 0.0000 0.0000 1
Ce2 Ce 0.0022 0.5815 0.5750 1
Ce3 Ce 0.4914 0.0701 0.5756 1
Ce4 Ce 0.4970 0.4964 0.0009 1
Ce5 Ce 0.5188 0.0431 0.0654 1
Ce6 Ce 0.9970 0.0612 0.5605 1
Pu1 Pu 0.2536 0.0308 0.7875 1
Pu2 Pu 0.5520 0.7404 0.7976 1
Hg1 Hg 0.4546 0.4264 0.3860 1
Hg2 Hg 0.9977 0.4961 0.9962 1

***

# Pr6SiGe2Se3, relaxed, DFT PBE-GGA
# **Calculated total energy**: -5.840 eV/atom
# **ΔE_f (raw)**: -1358 meV per atom
data_Pr6SiGe2Se3
_chemical_formula_sum 'Pr12 Si2 Ge4 Se6'
_cell_length_a 18.8506
_cell_length_b 4.3086
_cell_length_c 8.6544
_cell_angle_alpha 90.00
_cell_angle_beta 103.98
_cell_angle_gamma 90.00
_symmetry_space_group_name_H-M 'C 1 2/m 1'
_symmetry_Int_Tables_number 12
_symmetry_space_group_name_Hall '-C 2y'
loop_
_atom_site_label
_atom_site_type_symbol
_atom_site_fract_x
_atom_site_fract_y
_atom_site_fract_z
_atom_site_occupancy
Pr1 Pr 0.0016 0.0000 0.2433 1
Pr2 Pr 0.1642 0.5000 0.0873 1
Pr3 Pr 0.1683 0.5000 0.5783 1
Si1 Si 0.0000 0.5000 0.0000 1
Ge1 Ge 0.1666 0.0000 0.3330 1
Se1 Se 0.0000 0.5000 0.5000 1
Se2 Se 0.1668 0.0000 0.8331 1